Density functional theory data (PBE with a Hubbard U) for crystalline ScCoIO2 at its relaxed geometry.

Cell: 4.136 4.136 4.693 Å, 90.00 90.00 90.00°
Fractional positions:
1 Sc 0.000 0.000 0.000
2 Co 0.500 0.500 0.000
3 I 0.500 0.500 0.500
4 O 0.000 0.500 0.500
5 O 0.500 0.000 0.500

Values from the calculation:
Total energy ... -4.28 eV/atom
Relative energy among the computed polymorphs ... 132.2 kJ per mole of atoms
Total magnetic moment ... 0.00 μB/f.u.
Density ... 5.437 g cm⁻³